## ScTlTc2C (PBEsol)

Data for ScTlTc2C after structural relaxation.

Output
DFT formation energy: 2.49 eV per atom
Total moment: 1.66 μB/f.u.

Cell lengths 5.0410, 5.0410, 3.9218 Å; angles 90.00, 90.00, 90.00 degrees
Closest atoms and distances in Å follow each position.
Element x y z (fractional)
Sc 0.0000 0.0000 0.0000  8 Tc 3.19, 4 C 3.56
Tl 0.5000 0.5000 0.5000  2 C 1.96
Tc 0.0000 0.5000 0.5000  2 Tl 2.52
Tc 0.5000 0.0000 0.5000  2 Tl 2.52
C 0.5000 0.5000 0.0000  2 Tl 1.96

=====

## ReSbPtAu2 (PBEsol)

Data for ReSbPtAu2 after structural relaxation.

Output
Total moment: 4.24 μB/f.u.
Energy relative to the elements, uncorrected: 1.59 eV/atom

Cell lengths 5.0079, 5.0079, 4.8261 Å; angles 90.00, 90.00, 90.00 degrees
Closest atoms and distances in Å follow each position.
Element x y z (fractional)
Re 0.0000 0.0000 0.0000  8 Au 3.48, 4 Sb 3.54
Sb 0.5000 0.5000 0.0000  2 Pt 2.41
Pt 0.5000 0.5000 0.5000  2 Sb 2.41, 4 Au 2.50
Au 0.0000 0.5000 0.5000  2 Pt 2.50
Au 0.5000 0.0000 0.5000  2 Pt 2.50

=====

## GdTlMo2O8 (PBEsol)

Data for GdTlMo2O8 after structural relaxation.

Output
Total moment: 7.00 μB/f.u.
Energy relative to the elements, uncorrected: -2.26 eV/atom

Cell lengths 5.1125, 18.4863, 7.9649 Å; angles 90.00, 90.00, 90.00 degrees
Closest atoms and distances in Å follow each position.
Element x y z (fractional)
Gd 0.0000 0.0071 0.2500  8 O 2.31-2.53
Gd 0.0000 0.9929 0.7500  8 O 2.31-2.53
Gd 0.5000 0.4929 0.7500  8 O 2.31-2.53
Gd 0.5000 0.5071 0.2500  8 O 2.31-2.53
Tl 0.0000 0.2306 0.7500  6 O 2.74-2.92
Tl 0.0000 0.7694 0.2500  6 O 2.74-2.92
Tl 0.5000 0.2694 0.2500  6 O 2.74-2.92
Tl 0.5000 0.7306 0.7500  6 O 2.74-2.92
Mo 0.0175 0.3999 0.0220  4 O 1.73-1.84
Mo 0.0175 0.6001 0.5220  4 O 1.73-1.84
Mo 0.4825 0.1001 0.5220  4 O 1.73-1.84
Mo 0.4825 0.8999 0.0220  4 O 1.73-1.84
Mo 0.5175 0.1001 0.9780  4 O 1.73-1.84
Mo 0.5175 0.8999 0.4780  4 O 1.73-1.84
Mo 0.9825 0.3999 0.4780  4 O 1.73-1.84
Mo 0.9825 0.6001 0.9780  4 O 1.73-1.84
O 0.1089 0.3134 0.4740  1 Mo 1.73
O 0.1089 0.6866 0.9740  1 Mo 1.73
O 0.2244 0.4007 0.8455  1 Mo 1.76
O 0.2244 0.5993 0.3455  1 Mo 1.76
O 0.2387 0.4080 0.1968  1 Mo 1.80
O 0.2387 0.5920 0.6968  1 Mo 1.80
O 0.2487 0.4657 0.5063  1 Mo 1.84
O 0.2487 0.5343 0.0063  1 Mo 1.84
O 0.2513 0.0343 0.0063  1 Mo 1.84
O 0.2513 0.9657 0.5063  1 Mo 1.84
O 0.2613 0.0920 0.6968  1 Mo 1.80
O 0.2613 0.9080 0.1968  1 Mo 1.80
O 0.2756 0.0993 0.3455  1 Mo 1.76
O 0.2756 0.9007 0.8455  1 Mo 1.76
O 0.3911 0.1866 0.9740  1 Mo 1.73
O 0.3911 0.8134 0.4740  1 Mo 1.73
O 0.6089 0.1866 0.5260  1 Mo 1.73
O 0.6089 0.8134 0.0260  1 Mo 1.73
O 0.7244 0.0993 0.1545  1 Mo 1.76
O 0.7244 0.9007 0.6545  1 Mo 1.76
O 0.7387 0.0920 0.8032  1 Mo 1.80
O 0.7387 0.9080 0.3032  1 Mo 1.80
O 0.7487 0.0343 0.4937  1 Mo 1.84
O 0.7487 0.9657 0.9937  1 Mo 1.84
O 0.7513 0.4657 0.9937  1 Mo 1.84
O 0.7513 0.5343 0.4937  1 Mo 1.84
O 0.7613 0.4080 0.3032  1 Mo 1.80
O 0.7613 0.5920 0.8032  1 Mo 1.80
O 0.7756 0.4007 0.6545  1 Mo 1.76
O 0.7756 0.5993 0.1545  1 Mo 1.76
O 0.8911 0.3134 0.0260  1 Mo 1.73
O 0.8911 0.6866 0.5260  1 Mo 1.73

=====

## YMg2Cu (PBEsol)

Data for YMg2Cu after structural relaxation.

Output
DFT formation energy: -0.10 eV per atom
Total moment: 0.00 μB/f.u.

Cell lengths 4.8826, 4.8826, 8.1257 Å; angles 90.00, 90.00, 120.00 degrees
Closest atoms and distances in Å follow each position.
Element x y z (fractional)
Y 0.0000 0.0000 0.2500  3 Cu 2.82
Y 0.0000 0.0000 0.7500  3 Cu 2.82
Mg 0.3333 0.6667 0.0648  1 Cu 2.56
Mg 0.3333 0.6667 0.4352  1 Cu 2.56
Mg 0.6667 0.3333 0.5648  1 Cu 2.56
Mg 0.6667 0.3333 0.9352  1 Cu 2.56
Cu 0.3333 0.6667 0.7500  2 Mg 2.56, 3 Y 2.82
Cu 0.6667 0.3333 0.2500  2 Mg 2.56, 3 Y 2.82

=====

## LiTa4 (PBEsol)

Data for LiTa4 after structural relaxation.

Output
DFT formation energy: 1.20 eV per atom
Total moment: 0.00 μB/f.u.

Cell lengths 4.8847, 4.8847, 4.8847 Å; angles 109.47, 109.47, 109.47 degrees
Closest atoms and distances in Å follow each position.
Element x y z (fractional)
Li 0.0000 0.0000 0.0000  8 Ta 2.44
Ta 0.0000 0.0000 0.5000  2 Li 2.44
Ta 0.0000 0.5000 0.0000  2 Li 2.44
Ta 0.5000 0.0000 0.0000  2 Li 2.44
Ta 0.5000 0.5000 0.5000  2 Li 2.44

=====

## YTaCo2 (PBEsol)

Data for YTaCo2 after structural relaxation.

Output
DFT formation energy: 0.18 eV per atom
Total moment: 0.01 μB/f.u.

Cell lengths 3.2896, 3.2896, 6.1671 Å; angles 90.00, 90.00, 90.00 degrees
Closest atoms and distances in Å follow each position.
Element x y z (fractional)
Y 0.0000 0.0000 0.0000  5 Co 2.75-2.94
Ta 0.5000 0.5000 0.6077  5 Co 2.28-2.46
Co 0.0000 0.0000 0.4767  4 Ta 2.46, 4 Co 2.75
Co 0.5000 0.5000 0.2379  1 Ta 2.28

=====

## Ca2WBrN (PBEsol)

Data for Ca2WBrN after structural relaxation.

Output
Total moment: 4.87 μB/f.u.
Energy relative to the elements, uncorrected: 0.82 eV/atom

Cell lengths 4.8049, 4.8049, 4.7944 Å; angles 90.00, 90.00, 90.00 degrees
Closest atoms and distances in Å follow each position.
Element x y z (fractional)
Ca 0.0000 0.5000 0.0000  2 N 2.40
Ca 0.5000 0.0000 0.0000  2 N 2.40
W 0.0000 0.0000 0.5000  8 Ca 3.39, 4 Br 3.40
Br 0.5000 0.5000 0.5000  2 N 2.40
N 0.5000 0.5000 0.0000  2 Br 2.40, 4 Ca 2.40

=====

## MgCo2O4 (PBEsol)

Data for MgCo2O4 after structural relaxation.

Output
Energy above the most stable polymorph in this dataset: 0 meV per atom
Total moment: 0.00 μB/f.u.
Energy relative to the elements, uncorrected: -1.56 eV/atom

Cell lengths 5.7079, 5.7079, 5.7079 Å; angles 60.00, 60.00, 60.00 degrees
Closest atoms and distances in Å follow each position.
Element x y z (fractional)
Mg 0.1250 0.1250 0.1250  4 O 1.96
Mg 0.8750 0.8750 0.8750  4 O 1.96
Co 0.0000 0.5000 0.5000  6 O 1.90
Co 0.5000 0.0000 0.5000  6 O 1.90
Co 0.5000 0.5000 0.0000  6 O 1.90
Co 0.5000 0.5000 0.5000  6 O 1.90
O 0.2650 0.2650 0.2650  3 Co 1.90, 1 Mg 1.96
O 0.2650 0.2650 0.7050  3 Co 1.90, 1 Mg 1.96
O 0.2650 0.7050 0.2650  3 Co 1.90, 1 Mg 1.96
O 0.2950 0.7350 0.7350  3 Co 1.90, 1 Mg 1.96
O 0.7050 0.2650 0.2650  3 Co 1.90, 1 Mg 1.96
O 0.7350 0.2950 0.7350  3 Co 1.90, 1 Mg 1.96
O 0.7350 0.7350 0.2950  3 Co 1.90, 1 Mg 1.96
O 0.7350 0.7350 0.7350  3 Co 1.90, 1 Mg 1.96

=====

## MoAsAu2 (PBEsol)

Data for MoAsAu2 after structural relaxation.

Output
DFT formation energy: 0.10 eV per atom
Total moment: 0.00 μB/f.u.

Cell lengths 3.2008, 3.2008, 6.3989 Å; angles 90.00, 90.00, 90.00 degrees
Closest atoms and distances in Å follow each position.
Element x y z (fractional)
Mo 0.0000 0.0000 0.0000  4 As 2.57, 4 Au 2.84
As 0.5000 0.5000 0.8096  4 Mo 2.57
Au 0.0000 0.0000 0.5292  4 Au 2.81, 4 As 2.89, 1 Mo 3.01
Au 0.5000 0.5000 0.2685  4 Au 2.81, 4 Mo 2.84, 1 As 2.94

=====

## BeSN2F (PBEsol)

Data for BeSN2F after structural relaxation.

Output
Energy above the most stable polymorph in this dataset: 0 meV per atom
Total moment: 0.00 μB/f.u.
Energy relative to the elements, uncorrected: 1.07 eV/atom

Cell lengths 3.2642, 3.2642, 4.6864 Å; angles 90.00, 90.00, 90.00 degrees
Closest atoms and distances in Å follow each position.
Element x y z (fractional)
Be 0.0000 0.0000 0.0000  4 N 1.63
S 0.0000 0.0000 0.5000  4 F 2.31, 2 Be 2.34
N 0.0000 0.5000 0.0000  2 Be 1.63
N 0.5000 0.0000 0.0000  2 Be 1.63
F 0.5000 0.5000 0.5000  4 S 2.31

=====

## Ba2H2Pt (PBEsol)

Data for Ba2H2Pt after structural relaxation.

Output
E_tot: -4.020 eV/atom
Total moment: 0.00 μB/f.u.

Cell lengths 7.4470, 7.4470, 7.4470 Å; angles 148.86, 148.86, 44.62 degrees
Closest atoms and distances in Å follow each position.
Element x y z (fractional)
Ba 0.1316 0.1316 0.0000  4 H 2.58
Ba 0.8684 0.8684 0.0000  4 H 2.58
H 0.2500 0.7500 0.5000  4 Ba 2.58, 4 H 2.83
H 0.7500 0.2500 0.5000  4 Ba 2.58, 4 H 2.83
Pt 0.5000 0.5000 0.0000  8 Ba 3.36

=====

## ScInF2 (PBEsol)

Data for ScInF2 after structural relaxation.

Output
Total moment: 1.46 μB/f.u.
Energy relative to the elements, uncorrected: -1.52 eV/atom

Cell lengths 4.4330, 4.4330, 4.4330 Å; angles 60.00, 60.00, 60.00 degrees
Closest atoms and distances in Å follow each position.
Element x y z (fractional)
Sc 0.0000 0.0000 0.0000  8 F 2.71
In 0.5000 0.5000 0.5000  8 F 2.71
F 0.2500 0.2500 0.2500  4 In 2.71, 4 Sc 2.71
F 0.7500 0.7500 0.7500  4 In 2.71, 4 Sc 2.71